First-principles (PBE-GGA) data for a geometry-optimized GaHg3Cl structure, as listed in the Alexandria database.

Calculated values
For the total DFT energy (no corrections), the calculation gives -0.860 eV/atom. For the total magnetization, the calculation gives 0.0 Bohr magnetons per cell. For the formation energy without anion corrections, the calculation gives 1.481 eV per formula unit. As for the energy above the most stable polymorph in this dataset: 424.0 meV/atom. The symmetry is Pm-3m (221).

Cell lengths 5.983, 5.983, 5.983 Å; angles 90.00, 90.00, 90.00 degrees
Sites, in units of the cell vectors:
Ga  0.000  0.000  0.000
Hg  0.000  0.500  0.500
Hg  0.500  0.000  0.500
Hg  0.500  0.500  0.000
Cl  0.500  0.500  0.500

***

First-principles (PBE-GGA) data for a geometry-optimized Ho4HPb2 structure, as listed in the Alexandria database.

Calculated values
For the total DFT energy (no corrections), the calculation gives -4.607 eV/atom. For the total magnetization, the calculation gives 0.5 Bohr magnetons per cell. As for the energy above the most stable polymorph in this dataset: 19.2 meV/atom. The symmetry is I4/mmm (139).

Cell lengths 9.002, 9.002, 9.002 Å; angles 150.58, 150.58, 42.10 degrees
Sites, in units of the cell vectors:
Ho  0.000  0.500  0.500
Ho  0.175  0.175  0.000
Ho  0.500  0.000  0.500
Ho  0.825  0.825  0.000
H  0.000  0.000  0.000
Pb  0.361  0.361  0.000
Pb  0.639  0.639  0.000